DFT (PBE-GGA) results for a relaxed AsIrOs2 crystal.

Formation energy: 0.566 eV/atom
E: -8.427 eV per atom
Crystal system: orthorhombic

Cell: 2.785 4.626 4.667 Å, 90.00 90.00 90.00°
Last column: magnetic moment on the atom in μB.
Sites, in units of the cell vectors:
As 0.500 0.000 0.500  0.00
Ir 0.000 0.500 0.500  0.03
Os 0.000 0.000 0.000  0.09
Os 0.500 0.500 0.000  0.01